A geometry-optimized BaCr2Ru structure, computed with GGA-PBE.

Structure (CIF):
```
data_BaCr2Ru
_cell_length_a 3.482
_cell_length_b 4.628
_cell_length_c 5.082
_cell_angle_alpha 90.00
_cell_angle_beta 90.00
_cell_angle_gamma 90.00
_symmetry_space_group_name_H-M 'P 1'
_symmetry_Int_Tables_number 1
_symmetry_space_group_name_Hall 'P 1'
loop_
_atom_site_label
_atom_site_type_symbol
_atom_site_fract_x
_atom_site_fract_y
_atom_site_fract_z
_atom_site_occupancy
Ba1 Ba 0.000 0.000 0.000 1
Cr1 Cr 0.000 0.500 0.500 1
Cr2 Cr 0.500 0.000 0.500 1
Ru1 Ru 0.500 0.500 0.000 1
```

Symmetry: No. 47
Crystal system: orthorhombic
Calculated volume (A^3/atom): 20.5
DFT formation energy (eV/atom): 1.095
DFT total energy (eV per atom): -6.516
Distance to the lowest polymorph of the same formula (meV per atom): 573